1.
Material: HfZn4Ag
Method: DFT, PBE-GGA
State: relaxed

Cell lengths 4.2936, 4.2937, 11.0531 Å; angles 101.29, 101.29, 90.80 degrees
Last column: nearest neighbours and their distance in Å.
Sites, in units of the cell vectors:
Zn1 0.0825 0.0825 0.6660  4 Zn 2.66-2.68, 4 Ag 2.77-2.79
Zn2 0.4174 0.4174 0.3340  4 Zn 2.66-2.68, 4 Ag 2.77-2.79
Ag1 0.5000 0.0000 0.5000  8 Zn 2.77-2.79, 4 Ag 3.01-3.06
Zn3 0.1564 0.6563 0.8162  4 Zn 2.66-2.68, 4 Hf 2.90
Hf1 0.7500 0.7500 0.0000  8 Zn 2.90, 4 Hf 3.01-3.06
Zn4 0.6563 0.1563 0.8162  4 Zn 2.66-2.68, 4 Hf 2.90
Zn5 0.8436 0.3437 0.1838  4 Zn 2.66-2.68, 4 Hf 2.90
Ag2 0.0000 0.5000 0.5000  8 Zn 2.77-2.79, 4 Ag 3.01-3.06
Hf2 0.2500 0.2500 0.0000  8 Zn 2.90, 4 Hf 3.01-3.06
Zn6 0.3437 0.8437 0.1838  4 Zn 2.66-2.68, 4 Hf 2.90
Zn7 0.9175 0.9175 0.3340  4 Zn 2.66-2.68, 4 Ag 2.77-2.79
Zn8 0.5826 0.5826 0.6660  4 Zn 2.66-2.68, 4 Ag 2.77-2.79

Results
- Total energy: -18.43 eV per formula unit
- Density of states at the Fermi level: 2.30 states/eV/f.u.

---

2.
Material: HfZn2Ag
Method: DFT, PBE-GGA
State: relaxed

Cell lengths 2.9963, 2.9963, 9.3630 Å; angles 80.79, 80.79, 60.00 degrees
Last column: nearest neighbours and their distance in Å.
Sites, in units of the cell vectors:
Zn1 0.7469 0.7469 0.7594  3 Ag 2.81, 3 Hf 2.95, 6 Zn 3.00
Hf1 0.5000 0.5000 0.5000  6 Zn 2.95, 6 Hf 3.00
Zn2 0.2531 0.2531 0.2406  3 Ag 2.81, 3 Hf 2.95, 6 Zn 3.00
Ag1 0.0000 0.0000 0.0000  6 Zn 2.81, 6 Ag 3.00

Results
- Total energy: -15.32 eV per formula unit
- Density of states at the Fermi level: 1.96 states/eV/f.u.

---

3.
Material: HfZnAg3
Method: DFT, PBE-GGA
State: relaxed

Cell lengths 4.7118, 4.7118, 4.7118 Å; angles 90.00, 90.00, 90.00 degrees
Last column: nearest neighbours and their distance in Å.
Sites, in units of the cell vectors:
Hf1 0.5000 0.5000 0.5000  12 Ag 3.33
Zn1 0.0000 0.0000 0.0000  6 Ag 2.36
Ag1 0.0000 0.5000 0.0000  2 Zn 2.36
Ag2 0.0000 0.0000 0.5000  2 Zn 2.36
Ag3 0.5000 0.0000 0.0000  2 Zn 2.36

Results
- Total energy: -16.52 eV per formula unit
- Density of states at the Fermi level: 5.21 states/eV/f.u.

---

4.
Material: HfZnAg3
Method: DFT, PBE-GGA
State: relaxed

Cell lengths 5.3182, 5.3182, 5.3182 Å; angles 90.00, 90.00, 90.00 degrees
Last column: nearest neighbours and their distance in Å.
Sites, in units of the cell vectors:
Ag1 0.0000 0.0000 0.5000  2 Hf 2.66
Ag2 0.5000 0.0000 0.0000  2 Hf 2.66
Hf1 0.0000 0.0000 0.0000  6 Ag 2.66
Zn1 0.5000 0.5000 0.5000  12 Ag 3.76
Ag3 0.0000 0.5000 0.0000  2 Hf 2.66

Results
- Total energy: -13.70 eV per formula unit
- Density of states at the Fermi level: 3.13 states/eV/f.u.

---

5.
Material: HfZn9Ag2
Method: DFT, PBE-GGA
State: relaxed

Cell lengths 5.1393, 5.1393, 8.7791 Å; angles 72.98, 72.98, 60.00 degrees
Last column: nearest neighbours and their distance in Å.
Sites, in units of the cell vectors:
Zn1 0.0802 0.5867 0.7464  7 Zn 2.53-2.60
Hf1 0.0000 0.0000 0.0000  18 Zn 2.97-3.32
Zn2 0.5867 0.0802 0.7464  7 Zn 2.53-2.60
Zn3 0.3335 0.3335 0.9994  6 Zn 2.56-2.57
Zn4 0.5000 0.5000 0.5000  6 Zn 2.53
Zn5 0.9198 0.4133 0.2536  7 Zn 2.53-2.60
Zn6 0.4133 0.4133 0.2536  7 Zn 2.53-2.60
Ag1 0.8613 0.8613 0.4161  12 Zn 2.90-3.10
Ag2 0.1387 0.1387 0.5839  12 Zn 2.90-3.10
Zn7 0.5867 0.5867 0.7464  7 Zn 2.53-2.60
Zn8 0.6665 0.6665 0.0006  6 Zn 2.56-2.57
Zn9 0.4133 0.9198 0.2536  7 Zn 2.53-2.60

Results
- Total energy: -27.33 eV per formula unit
- Density of states at the Fermi level: 4.45 states/eV/f.u.

---

6.
Material: HfZrZnAg
Method: DFT, PBE-GGA
State: relaxed

Cell lengths 3.1016, 3.1016, 7.9488 Å; angles 90.00, 90.00, 90.00 degrees
Last column: nearest neighbours and their distance in Å.
Sites, in units of the cell vectors:
Zr1 0.5000 0.5000 0.8083  4 Zn 2.91, 4 Ag 3.06, 4 Zr 3.10
Ag1 0.0000 0.0000 0.0767  4 Hf 2.99, 4 Zr 3.06, 4 Ag 3.10
Zn1 0.0000 0.0000 0.5670  4 Hf 2.88, 4 Zr 2.91, 4 Zn 3.10
Hf1 0.5000 0.5000 0.3327  4 Zn 2.88, 4 Ag 2.99, 4 Hf 3.10

Results
- Total energy: -23.02 eV per formula unit
- Density of states at the Fermi level: 3.69 states/eV/f.u.

---

7.
Material: HfZrZnAg
Method: DFT, PBE-GGA
State: relaxed

Cell lengths 4.7863, 4.7863, 4.7863 Å; angles 60.00, 60.00, 60.00 degrees
Last column: nearest neighbours and their distance in Å.
Sites, in units of the cell vectors:
Zn1 0.7500 0.7500 0.7500  4 Hf 2.93, 4 Zr 2.93
Zr1 0.5000 0.5000 0.5000  4 Zn 2.93, 4 Ag 2.93
Ag1 0.2500 0.2500 0.2500  4 Zr 2.93, 4 Hf 2.93
Hf1 0.0000 0.0000 0.0000  4 Ag 2.93, 4 Zn 2.93

Results
- Total energy: -22.83 eV per formula unit
- Density of states at the Fermi level: 6.12 states/eV/f.u.

---

8.
Material: HfZr2Ag
Method: DFT, PBE-GGA
State: relaxed

Cell lengths 3.0238, 3.0238, 11.2759 Å; angles 82.29, 82.29, 60.00 degrees
Last column: nearest neighbours and their distance in Å.
Sites, in units of the cell vectors:
Zr1 0.9096 0.9096 0.2711  1 Hf 3.02, 6 Zr 3.02, 3 Ag 3.09
Hf1 0.0000 0.0000 0.0000  2 Zr 3.02, 6 Hf 3.02
Zr2 0.0904 0.0904 0.7289  1 Hf 3.02, 6 Zr 3.02, 3 Ag 3.09
Ag1 0.5000 0.5000 0.5000  6 Ag 3.02, 6 Zr 3.09

Results
- Total energy: -28.71 eV per formula unit
- Density of states at the Fermi level: 5.76 states/eV/f.u.

---

9.
Material: HfZr2Ag
Method: DFT, PBE-GGA
State: relaxed

Cell lengths 4.9219, 4.9219, 4.9219 Å; angles 60.00, 60.00, 60.00 degrees
Last column: nearest neighbours and their distance in Å.
Sites, in units of the cell vectors:
Zr1 0.7500 0.7500 0.7500  4 Hf 3.01, 4 Ag 3.01
Hf1 0.5000 0.5000 0.5000  8 Zr 3.01
Ag1 0.0000 0.0000 0.0000  8 Zr 3.01
Zr2 0.2500 0.2500 0.2500  4 Hf 3.01, 4 Ag 3.01

Results
- Total energy: -29.35 eV per formula unit
- Density of states at the Fermi level: 5.75 states/eV/f.u.

---

10.
Material: HfZr2Ag
Method: DFT, PBE-GGA
State: relaxed

Cell lengths 3.1664, 3.1664, 10.2346 Å; angles 81.10, 81.10, 60.00 degrees
Last column: nearest neighbours and their distance in Å.
Sites, in units of the cell vectors:
Ag1 0.6669 0.6669 0.9993  6 Zr 3.09-3.10, 6 Ag 3.17
Hf1 0.4998 0.4998 0.5005  6 Zr 3.13, 6 Hf 3.17
Zr1 0.0825 0.0825 0.7524  3 Ag 3.09, 3 Hf 3.13, 6 Zr 3.17
Zr2 0.2507 0.2507 0.2478  3 Ag 3.10, 3 Hf 3.13, 6 Zr 3.17

Results
- Total energy: -29.70 eV per formula unit
- Density of states at the Fermi level: 4.83 states/eV/f.u.

---

11.
Material: HfZrAg
Method: DFT, PBE-GGA
State: relaxed

Cell lengths 3.1332, 3.1315, 13.2866 Å; angles 76.34, 89.99, 90.00 degrees
Last column: nearest neighbours and their distance in Å.
Sites, in units of the cell vectors:
Ag1 0.9766 0.9662 0.0902  8 Ag 2.92-3.13, 4 Zr 3.09
Ag2 0.4772 0.3178 0.2382  8 Ag 2.92-3.13, 4 Zr 3.09
Zr1 0.4765 0.6333 0.9237  4 Ag 3.09, 4 Zr 3.13, 4 Hf 3.14-3.15
Zr2 0.9774 0.6507 0.4047  4 Ag 3.09, 4 Zr 3.13, 4 Hf 3.14-3.15
Hf1 0.4771 0.9784 0.5777  8 Hf 3.13-3.15, 4 Zr 3.14-3.15
Hf2 0.9767 0.3057 0.7506  8 Hf 3.13-3.15, 4 Zr 3.14-3.15

Results
- Total energy: -21.46 eV per formula unit
- Density of states at the Fermi level: 3.23 states/eV/f.u.

---

12.
Material: Hf3ZrAg
Method: DFT, PBE-GGA
State: relaxed

Cell lengths 5.0762, 5.0762, 5.0762 Å; angles 90.00, 90.00, 90.00 degrees
Last column: nearest neighbours and their distance in Å.
Sites, in units of the cell vectors:
Hf1 0.0000 0.5000 0.0000  2 Ag 2.54
Hf2 0.0000 0.0000 0.5000  2 Ag 2.54
Ag1 0.0000 0.0000 0.0000  6 Hf 2.54
Hf3 0.5000 0.0000 0.0000  2 Ag 2.54
Zr1 0.5000 0.5000 0.5000  12 Hf 3.59

Results
- Total energy: -36.15 eV per formula unit
- Density of states at the Fermi level: 9.81 states/eV/f.u.